No. 1
Compound: SrZrTa2
Source: Alexandria
Functional: GGA-PBEsol
Structure: relaxed

Cell lengths 3.033, 4.618, 6.883 Å; angles 90.00, 99.79, 90.00 degrees
Space group Pm (No. 6)
One atom of each set of equivalent atoms:
1 Sr 0.000 0.000 0.000 [1 per cell]
2 Zr 0.201 0.500 0.664 [1 per cell]
3 Ta 0.518 0.000 0.477 [1 per cell]
4 Ta 0.710 0.500 0.299 [1 per cell]

For the formation energy, the calculation gives 0.58 eV/atom. The total magnetic moment is 0.000 μB/f.u. The value obtained for the total energy is -8.43 eV per atom. The value obtained for the energy above the most stable polymorph in this dataset is 0 meV per atom.


No. 2
Compound: LiErW2O8
Source: Alexandria
Functional: GGA-PBEsol
Structure: relaxed

Cell lengths 4.970, 5.809, 10.822 Å; angles 90.00, 114.22, 90.00 degrees
Space group P2/c (No. 13)
One atom of each set of equivalent atoms:
1 Li 0.000 0.227 0.250 [2 per cell]
2 Er 0.500 0.187 0.750 [2 per cell]
3 W 0.266 0.321 0.015 [4 per cell]
4 O 0.153 0.391 0.597 [4 per cell]
5 O 0.230 0.127 0.136 [4 per cell]
6 O 0.283 0.128 0.888 [4 per cell]
7 O 0.345 0.412 0.387 [4 per cell]

The calculation puts the energy relative to the elements, uncorrected at -2.54 eV/atom. The total magnetic moment is 0.000 μB/f.u. The value obtained for the total energy is -8.92 eV per atom.


No. 3
Compound: B8O
Source: Alexandria
Functional: GGA-PBEsol
Structure: relaxed

Cell lengths 14.708, 10.560, 5.118 Å; angles 90.00, 92.57, 90.00 degrees
Space group C2/m (No. 12)
One atom of each set of equivalent atoms:
1 B 0.000 0.000 0.165 [4 per cell]
2 B 0.001 0.500 0.835 [4 per cell]
3 B 0.031 0.132 0.359 [8 per cell]
4 B 0.031 0.369 0.357 [8 per cell]
5 B 0.084 0.083 0.668 [8 per cell]
6 B 0.086 0.417 0.661 [8 per cell]
7 B 0.101 0.000 0.377 [4 per cell]
8 B 0.107 0.500 0.357 [4 per cell]
9 B 0.149 0.251 0.121 [8 per cell]
10 B 0.166 0.332 0.830 [8 per cell]
11 B 0.168 0.163 0.831 [8 per cell]
12 B 0.214 0.393 0.142 [8 per cell]
13 B 0.220 0.118 0.140 [8 per cell]
14 B 0.249 0.254 0.335 [8 per cell]
15 O 0.060 0.250 0.238 [8 per cell]
16 O 0.191 0.000 0.265 [4 per cell]

The calculation puts the energy relative to the elements, uncorrected at -0.55 eV/atom. The total magnetic moment is 0.000 μB/f.u. The value obtained for the total energy is -7.37 eV per atom. The value obtained for the energy above the most stable polymorph in this dataset is 4 meV per atom.